Entry 1:
This record from Alexandria describes a relaxed Ta2PbO7 crystal. The functional is PBE-GGA.

Properties
The uncorrected formation energy comes out at -2.071 eV per atom. As for the total energy: -165.7 eV per cell.

Structure (CIF):
```
data_Ta2PbO7
_chemical_formula_sum 'Ta4 Pb2 O14'
_symmetry_space_group_name_H-M 'C m m m'
_symmetry_Int_Tables_number 65
_symmetry_space_group_name_Hall '-C 2 2'
_cell_length_a 6.422
_cell_length_b 10.334
_cell_length_c 3.888
_cell_angle_alpha 90.00
_cell_angle_beta 90.00
_cell_angle_gamma 90.00
loop_
_atom_site_label
_atom_site_fract_x
_atom_site_fract_y
_atom_site_fract_z
Ta1 0.000 0.197 0.000
Pb1 0.000 0.500 0.500
O1 0.000 0.000 0.000
O2 0.000 0.213 0.500
O3 0.195 0.363 0.000
```

Entry 2:
This record from Alexandria describes a relaxed Ta2PbO crystal. The functional is PBE-GGA.

Properties
The uncorrected formation energy comes out at -0.051 eV per atom. As for the total energy: -130.3 eV per cell. Its excess energy over the best structure of this formula in the dataset is 0.00 eV per formula unit.

Structure (CIF):
```
data_Ta2PbO
_chemical_formula_sum 'Ta8 Pb4 O4'
_symmetry_space_group_name_H-M 'I -4 2 d'
_symmetry_Int_Tables_number 122
_symmetry_space_group_name_Hall 'I -4 2bw'
_cell_length_a 5.323
_cell_length_b 5.323
_cell_length_c 11.887
_cell_angle_alpha 90.00
_cell_angle_beta 90.00
_cell_angle_gamma 90.00
loop_
_atom_site_label
_atom_site_fract_x
_atom_site_fract_y
_atom_site_fract_z
Ta1 0.086 0.250 0.125
Pb1 0.000 0.000 0.500
O1 0.000 0.000 0.000
```

Entry 3:
This record from Alexandria describes a relaxed Ta8Pb6O25 crystal. The functional is PBE-GGA.

Properties
The uncorrected formation energy comes out at -2.408 eV per atom. As for the total energy: -669.9 eV per cell.

Structure (CIF):
```
data_Ta8Pb6O25
_chemical_formula_sum 'Ta16 Pb12 O50'
_symmetry_space_group_name_H-M 'C 1 2 1'
_symmetry_Int_Tables_number 5
_cell_length_a 10.650
_cell_length_b 10.706
_cell_length_c 10.601
_cell_angle_alpha 90.00
_cell_angle_beta 90.17
_cell_angle_gamma 90.00
loop_
_symmetry_equiv_pos_as_xyz
'x,y,z'
'-x,y,-z'
'x+1/2,y+1/2,z'
'-x+1/2,y+1/2,-z'
loop_
_atom_site_label
_atom_site_fract_x
_atom_site_fract_y
_atom_site_fract_z
Ta1 0.122 0.000 0.373
Ta2 0.125 0.247 0.123
Ta3 0.127 0.749 0.626
Ta4 0.130 0.497 0.878
Pb1 0.106 0.756 0.112
Pb2 0.125 0.249 0.635
Pb3 0.129 0.497 0.367
O1 0.000 0.066 0.500
O2 0.000 0.197 0.000
O3 0.000 0.373 0.500
O4 0.000 0.560 0.000
O5 0.000 0.684 0.500
O6 0.001 0.377 0.805
O7 0.003 0.872 0.316
O8 0.062 0.128 0.253
O9 0.062 0.627 0.752
O10 0.188 0.374 0.999
O11 0.191 0.876 0.500
O12 0.245 0.313 0.257
O13 0.246 0.630 0.934
O14 0.249 0.623 0.558
O15 0.249 0.939 0.250
```

Entry 4:
This record from Alexandria describes a relaxed TaPbO2 crystal. The functional is PBE-GGA.

Properties
The uncorrected formation energy comes out at -1.080 eV per atom. As for the total energy: -89.4 eV per cell.

Structure (CIF):
```
data_TaPbO2
_chemical_formula_sum 'Ta3 Pb3 O6'
_symmetry_space_group_name_H-M 'R -3 m'
_symmetry_Int_Tables_number 166
_symmetry_space_group_name_Hall '-R 3 2"'
_cell_length_a 3.3680
_cell_length_b 3.3680
_cell_length_c 20.9809
_cell_angle_alpha 90.00
_cell_angle_beta 90.00
_cell_angle_gamma 120.00
loop_
_atom_site_label
_atom_site_fract_x
_atom_site_fract_y
_atom_site_fract_z
Ta1 0.0000 0.0000 0.0000
Pb1 0.0000 0.0000 0.5000
O1 0.0000 0.0000 0.0915
```

Entry 5:
This record from Alexandria describes a relaxed Ta2PbO6 crystal. The functional is PBE-GGA.

Properties
The uncorrected formation energy comes out at -2.509 eV per atom. As for the total energy: -159.5 eV per cell. Its excess energy over the best structure of this formula in the dataset is 0.25 eV per formula unit.

Structure (CIF):
```
data_Ta2PbO6
_chemical_formula_sum 'Ta4 Pb2 O12'
_symmetry_space_group_name_H-M 'C 1 2/m 1'
_symmetry_Int_Tables_number 12
_cell_length_a 10.158
_cell_length_b 3.888
_cell_length_c 7.694
_cell_angle_alpha 90.00
_cell_angle_beta 114.57
_cell_angle_gamma 90.00
loop_
_symmetry_equiv_pos_as_xyz
'x,y,z'
'-x,-y,-z'
'-x,y,-z'
'x,-y,z'
'x+1/2,y+1/2,z'
'-x+1/2,-y+1/2,-z'
'-x+1/2,y+1/2,-z'
'x+1/2,-y+1/2,z'
loop_
_atom_site_label
_atom_site_fract_x
_atom_site_fract_y
_atom_site_fract_z
Ta1 0.175 0.000 0.114
Pb1 0.000 0.000 0.500
O1 0.013 0.000 0.173
O2 0.178 0.500 0.644
O3 0.199 0.500 0.062
```

Entry 6:
This record from Alexandria describes a relaxed Ta3PbO crystal. The functional is PBE-GGA.

Properties
The uncorrected formation energy comes out at -0.250 eV per atom. As for the total energy: -45.5 eV per cell. Its excess energy over the best structure of this formula in the dataset is 0.00 eV per formula unit.

Structure (CIF):
```
data_Ta3PbO
_chemical_formula_sum 'Ta3 Pb1 O1'
_symmetry_space_group_name_H-M 'P m -3 m'
_symmetry_Int_Tables_number 221
_symmetry_space_group_name_Hall '-P 4 2 3'
_cell_length_a 4.347
_cell_length_b 4.347
_cell_length_c 4.347
_cell_angle_alpha 90.00
_cell_angle_beta 90.00
_cell_angle_gamma 90.00
loop_
_atom_site_label
_atom_site_fract_x
_atom_site_fract_y
_atom_site_fract_z
Ta1 0.000 0.000 0.500
Pb1 0.500 0.500 0.500
O1 0.000 0.000 0.000
```